Arrangement 1

Computed, not measured: an optimized crystal structure of BaCoRe at the PBE level of DFT.

Cell and atoms, written as POSCAR:
```
BaCoRe
1.0
4.1483 0.0000 0.0000
-2.0739 3.5939 0.0000
-0.0446 -2.2873 10.8483
Ba Co Re
2 2 2
direct
0.0000 0.0000 0.0000
0.2001 0.3867 0.6095
0.0941 0.1820 0.2879
0.3914 0.7798 0.1795
0.4629 0.9167 0.3950
0.7622 0.5183 0.2923
```

Calculated values
Magnetization, μB/atom: 0.16
Density, Mg/m³: 7.9

Arrangement 2

Computed, not measured: an optimized crystal structure of BaCoRe at the PBE level of DFT.

Cell and atoms, written as POSCAR:
```
BaCoRe
1.0
6.0100 0.0000 0.0000
0.0000 4.0519 0.0000
0.0000 0.0000 12.1375
Ba Co Re
4 4 4
direct
0.1059 0.2500 0.1362
0.3941 0.7500 0.6362
0.6059 0.2500 0.3638
0.8941 0.7500 0.8638
0.0867 0.2500 0.4580
0.4133 0.7500 0.9580
0.5867 0.2500 0.0420
0.9133 0.7500 0.5420
0.1010 0.7500 0.3672
0.3990 0.2500 0.8672
0.6010 0.7500 0.1328
0.8990 0.2500 0.6328
```

Calculated values
Magnetization, μB/atom: 0.00
Density, Mg/m³: 8.6

Most stable: arrangement 1 (next structure +354 meV/atom)